## La2Ni2O (PBE with a Hubbard U)

Data for La2Ni2O after structural relaxation.

Output
- E above lowest polymorph: 0 meV/atom

Unit cell a=7.266 b=7.266 c=3.518 alpha=90.00 beta=90.00 gamma=90.00
Space group P4/mbm (No. 127)
Inequivalent atoms, fractional coordinates:
La 0.198 0.302 0.000 [4 per cell]
Ni 0.111 0.611 0.500 [4 per cell]
O 0.000 0.000 0.500 [2 per cell]